## w
# BeAlCl PBEsol optimized geometry
# Calculated volume, Å³/f.u.: 46.0
# Fermi-level density of states, states/eV/atom: 0.1549
data_BeAlCl
_chemical_formula_sum 'Be2 Al2 Cl2'
_cell_length_a 3.047
_cell_length_b 3.047
_cell_length_c 9.900
_cell_angle_alpha 90.00
_cell_angle_beta 90.00
_cell_angle_gamma 90.00
_symmetry_space_group_name_H-M 'I 4 m m'
_symmetry_Int_Tables_number 107
_symmetry_space_group_name_Hall 'I 4 -2'
loop_
_atom_site_label
_atom_site_fract_x
_atom_site_fract_y
_atom_site_fract_z
Be1 0.000 0.000 0.000
Al1 0.000 0.000 0.376
Cl1 0.000 0.000 0.656

***

## x
# BeAlCl PBEsol optimized geometry
# Calculated volume, Å³/f.u.: 73.0
# Fermi-level density of states, states/eV/atom: 0.3465
data_BeAlCl
_chemical_formula_sum 'Be4 Al4 Cl4'
_cell_length_a 6.634
_cell_length_b 6.634
_cell_length_c 6.634
_cell_angle_alpha 90.00
_cell_angle_beta 90.00
_cell_angle_gamma 90.00
_symmetry_space_group_name_H-M 'F -4 3 m'
_symmetry_Int_Tables_number 216
_symmetry_space_group_name_Hall 'F -4 2 3'
loop_
_atom_site_label
_atom_site_fract_x
_atom_site_fract_y
_atom_site_fract_z
Be1 0.000 0.000 0.000
Al1 0.000 0.000 0.500
Cl1 0.250 0.250 0.250

***

Most stable to least stable: w, x